No. 1
# GGA-PBE PrSmCu2Si2, optimized geometry
data_PrSmCu2Si2
_symmetry_space_group_name_H-M 'P 1'
_symmetry_Int_Tables_number 1
_symmetry_space_group_name_Hall 'P 1'
_cell_length_a 4.1811
_cell_length_b 4.1811
_cell_length_c 7.9355
_cell_angle_alpha 90.00
_cell_angle_beta 90.00
_cell_angle_gamma 120.00
loop_
_atom_site_label
_atom_site_type_symbol
_atom_site_fract_x
_atom_site_fract_y
_atom_site_fract_z
Cu1 Cu 0.3333 0.6667 0.2553
Cu2 Cu 0.6667 0.3333 0.7447
Pr1 Pr 0.0000 0.0000 0.0000
Si1 Si 0.6667 0.3333 0.2574
Si2 Si 0.3333 0.6667 0.7426
Sm1 Sm 0.0000 0.0000 0.5000
# SG	P-3m1
# crystal system	trigonal
# magnetic moment	0.010	μB per formula unit


No. 2
# GGA-PBE TbPrCu2Si2, optimized geometry
data_TbPrCu2Si2
_symmetry_space_group_name_H-M 'P 1'
_symmetry_Int_Tables_number 1
_symmetry_space_group_name_Hall 'P 1'
_cell_length_a 4.1878
_cell_length_b 4.1878
_cell_length_c 7.7989
_cell_angle_alpha 90.00
_cell_angle_beta 90.00
_cell_angle_gamma 120.00
loop_
_atom_site_label
_atom_site_type_symbol
_atom_site_fract_x
_atom_site_fract_y
_atom_site_fract_z
Cu1 Cu 0.3333 0.6667 0.2651
Cu2 Cu 0.6667 0.3333 0.7349
Pr1 Pr 0.0000 0.0000 0.0000
Si1 Si 0.6667 0.3333 0.2618
Si2 Si 0.3333 0.6667 0.7382
Tb1 Tb 0.0000 0.0000 0.5000
# SG	P-3m1
# crystal system	trigonal
# magnetic moment	0.007	μB per formula unit


No. 3
# GGA-PBE PrYCuSi3, optimized geometry
data_PrYCuSi3
_symmetry_space_group_name_H-M 'P 1'
_symmetry_Int_Tables_number 1
_symmetry_space_group_name_Hall 'P 1'
_cell_length_a 8.1463
_cell_length_b 8.0636
_cell_length_c 5.8232
_cell_angle_alpha 69.71
_cell_angle_beta 68.19
_cell_angle_gamma 42.10
loop_
_atom_site_label
_atom_site_type_symbol
_atom_site_fract_x
_atom_site_fract_y
_atom_site_fract_z
Cu1 Cu 0.8326 0.8326 0.1674
Cu2 Cu 0.1674 0.1674 0.8326
Pr1 Pr 0.2565 0.7435 0.2565
Pr2 Pr 0.7435 0.2565 0.7435
Si1 Si 0.8408 0.3306 0.1592
Si2 Si 0.6703 0.6703 0.3297
Si3 Si 0.6694 0.1592 0.3306
Si4 Si 0.3306 0.8408 0.6694
Si5 Si 0.3297 0.3297 0.6703
Si6 Si 0.1592 0.6694 0.8408
Y1 Y 0.2500 0.2500 0.2500
Y2 Y 0.7500 0.7500 0.7500
# excess energy over the best structure of this formula in the dataset	0.0000	eV/atom
# SG	Fmmm
# crystal system	orthorhombic
# magnetic moment	0.005	μB per formula unit


No. 4
# GGA-PBE Pr2ZnCuSi2, optimized geometry
data_Pr2ZnCuSi2
_symmetry_space_group_name_H-M 'P 1'
_symmetry_Int_Tables_number 1
_symmetry_space_group_name_Hall 'P 1'
_cell_length_a 4.1903
_cell_length_b 4.1903
_cell_length_c 8.3910
_cell_angle_alpha 90.00
_cell_angle_beta 90.00
_cell_angle_gamma 120.00
loop_
_atom_site_label
_atom_site_type_symbol
_atom_site_fract_x
_atom_site_fract_y
_atom_site_fract_z
Cu1 Cu 0.6667 0.3333 0.0000
Pr1 Pr 0.0000 0.0000 0.2410
Pr2 Pr 0.0000 0.0000 0.7590
Si1 Si 0.3333 0.6667 0.0000
Si2 Si 0.6667 0.3333 0.5000
Zn1 Zn 0.3333 0.6667 0.5000
# SG	P-6m2
# crystal system	hexagonal
# magnetic moment	0.021	μB per formula unit


No. 5
# GGA-PBE PrSmCu2Sn2, optimized geometry
data_PrSmCu2Sn2
_symmetry_space_group_name_H-M 'P 1'
_symmetry_Int_Tables_number 1
_symmetry_space_group_name_Hall 'P 1'
_cell_length_a 4.5979
_cell_length_b 4.5979
_cell_length_c 7.5572
_cell_angle_alpha 90.00
_cell_angle_beta 90.00
_cell_angle_gamma 120.00
loop_
_atom_site_label
_atom_site_type_symbol
_atom_site_fract_x
_atom_site_fract_y
_atom_site_fract_z
Cu1 Cu 0.3333 0.6667 0.0519
Cu2 Cu 0.6667 0.3333 0.5381
Pr1 Pr 0.0000 0.0000 0.7370
Sm1 Sm 0.0000 0.0000 0.2365
Sn1 Sn 0.3333 0.6667 0.4632
Sn2 Sn 0.6667 0.3333 0.9733
# SG	P3m1
# crystal system	trigonal
# magnetic moment	0.013	μB per formula unit


No. 6
# GGA-PBE Pr2SmCu4Sn4, optimized geometry
data_Pr2SmCu4Sn4
_symmetry_space_group_name_H-M 'P 1'
_symmetry_Int_Tables_number 1
_symmetry_space_group_name_Hall 'P 1'
_cell_length_a 8.5961
_cell_length_b 8.5961
_cell_length_c 8.5961
_cell_angle_alpha 149.13
_cell_angle_beta 132.07
_cell_angle_gamma 58.10
loop_
_atom_site_label
_atom_site_type_symbol
_atom_site_fract_x
_atom_site_fract_y
_atom_site_fract_z
Cu1 Cu 0.6474 0.3314 0.3159
Cu2 Cu 0.9845 0.6686 0.3159
Cu3 Cu 0.0155 0.3314 0.6841
Cu4 Cu 0.3526 0.6686 0.6841
Pr1 Pr 0.6324 0.1324 0.5000
Pr2 Pr 0.3676 0.8676 0.5000
Sm1 Sm 0.0000 0.0000 0.0000
Sn1 Sn 0.2158 0.2158 0.0000
Sn2 Sn 0.7842 0.7842 0.0000
Sn3 Sn 0.7032 0.5000 0.2032
Sn4 Sn 0.2968 0.5000 0.7968
# SG	Immm
# crystal system	orthorhombic
# magnetic moment	0.003	μB per formula unit


No. 7
# GGA-PBE PrSm2Cu4Sn4, optimized geometry
data_PrSm2Cu4Sn4
_symmetry_space_group_name_H-M 'P 1'
_symmetry_Int_Tables_number 1
_symmetry_space_group_name_Hall 'P 1'
_cell_length_a 8.5744
_cell_length_b 8.5744
_cell_length_c 8.5744
_cell_angle_alpha 149.22
_cell_angle_beta 131.63
_cell_angle_gamma 58.44
loop_
_atom_site_label
_atom_site_type_symbol
_atom_site_fract_x
_atom_site_fract_y
_atom_site_fract_z
Cu1 Cu 0.5161 0.3312 0.1849
Cu2 Cu 0.8537 0.6688 0.1849
Cu3 Cu 0.1463 0.3312 0.8151
Cu4 Cu 0.4839 0.6688 0.8151
Pr1 Pr 0.5000 0.0000 0.5000
Sm1 Sm 0.1322 0.1322 0.0000
Sm2 Sm 0.8678 0.8678 0.0000
Sn1 Sn 0.8004 0.5000 0.3004
Sn2 Sn 0.7172 0.2172 0.5000
Sn3 Sn 0.2828 0.7828 0.5000
Sn4 Sn 0.1996 0.5000 0.6996
# SG	Immm
# crystal system	orthorhombic
# magnetic moment	0.002	μB per formula unit


No. 8
# GGA-PBE Pr2CuSn6, optimized geometry
data_Pr2CuSn6
_symmetry_space_group_name_H-M 'P 1'
_symmetry_Int_Tables_number 1
_symmetry_space_group_name_Hall 'P 1'
_cell_length_a 11.7921
_cell_length_b 11.7921
_cell_length_c 4.5767
_cell_angle_alpha 90.00
_cell_angle_beta 90.00
_cell_angle_gamma 158.03
loop_
_atom_site_label
_atom_site_type_symbol
_atom_site_fract_x
_atom_site_fract_y
_atom_site_fract_z
Cu1 Cu 0.0000 0.0000 0.0000
Pr1 Pr 0.6746 0.3254 0.5000
Pr2 Pr 0.3254 0.6746 0.5000
Sn1 Sn 0.7928 0.2072 0.0000
Sn2 Sn 0.5686 0.4314 0.0000
Sn3 Sn 0.4314 0.5686 0.0000
Sn4 Sn 0.2072 0.7928 0.0000
Sn5 Sn 0.9323 0.0677 0.5000
Sn6 Sn 0.0677 0.9323 0.5000
# SG	Cmmm
# crystal system	orthorhombic
# magnetic moment	0.013	μB per formula unit


No. 9
# GGA-PBE SrPrCu2Sn4, optimized geometry
data_SrPrCu2Sn4
_symmetry_space_group_name_H-M 'P 1'
_symmetry_Int_Tables_number 1
_symmetry_space_group_name_Hall 'P 1'
_cell_length_a 4.5766
_cell_length_b 9.8754
_cell_length_c 9.8754
_cell_angle_alpha 26.47
_cell_angle_beta 90.00
_cell_angle_gamma 90.00
loop_
_atom_site_label
_atom_site_type_symbol
_atom_site_fract_x
_atom_site_fract_y
_atom_site_fract_z
Cu1 Cu 0.5000 0.3246 0.3246
Cu2 Cu 0.0000 0.6750 0.6750
Pr1 Pr 0.0000 0.8942 0.8942
Sn1 Sn 0.0000 0.2525 0.2525
Sn2 Sn 0.5000 0.4549 0.4549
Sn3 Sn 0.0000 0.5411 0.5411
Sn4 Sn 0.5000 0.7509 0.7509
Sr1 Sr 0.5000 0.1068 0.1068
# SG	Amm2
# crystal system	orthorhombic
# magnetic moment	0.003	μB per formula unit


No. 10
# GGA-PBE TbPr2Cu4Sn4, optimized geometry
data_TbPr2Cu4Sn4
_symmetry_space_group_name_H-M 'P 1'
_symmetry_Int_Tables_number 1
_symmetry_space_group_name_Hall 'P 1'
_cell_length_a 8.5544
_cell_length_b 8.5544
_cell_length_c 8.5544
_cell_angle_alpha 149.00
_cell_angle_beta 132.29
_cell_angle_gamma 58.00
loop_
_atom_site_label
_atom_site_type_symbol
_atom_site_fract_x
_atom_site_fract_y
_atom_site_fract_z
Cu1 Cu 0.6450 0.3305 0.3145
Cu2 Cu 0.9840 0.6695 0.3145
Cu3 Cu 0.0160 0.3305 0.6855
Cu4 Cu 0.3550 0.6695 0.6855
Pr1 Pr 0.6323 0.1323 0.5000
Pr2 Pr 0.3677 0.8677 0.5000
Sn1 Sn 0.2142 0.2142 0.0000
Sn2 Sn 0.7858 0.7858 0.0000
Sn3 Sn 0.7065 0.5000 0.2065
Sn4 Sn 0.2935 0.5000 0.7935
Tb1 Tb 0.0000 0.0000 0.0000
# SG	Immm
# crystal system	orthorhombic
# magnetic moment	0.016	μB per formula unit


Values of raw total energy, in order: -5.25, -5.25, -5.94, -4.84, -4.75, -4.64, -4.63, -4.60, -4.19, -4.63, all in eV/atom.